1.
This record from Alexandria via LeMat-Bulk describes an optimized crystal structure of Nd6SnTe12. The functional is GGA-PBE.

Cell and atoms, written as extended XYZ:
```
19
Lattice="6.859 3.960 4.295 -6.859 3.960 4.295 0.000 -7.921 4.295" Properties=species:S:1:pos:R:3 pbc="T T T"
Nd -3.406 -3.431 6.873
Nd -4.674 1.234 6.011
Nd 1.268 -4.665 6.011
Nd -1.268 4.665 6.873
Nd 4.674 -1.234 6.873
Nd 3.406 3.431 6.011
Sn 0.000 0.000 6.442
Te -5.855 -1.449 7.199
Te -1.673 -5.795 5.685
Te -2.457 -0.910 4.910
Te -4.182 4.347 5.685
Te 2.017 -1.673 4.910
Te -0.440 -2.583 7.974
Te 0.440 2.583 4.910
Te -2.017 1.673 7.974
Te 4.182 -4.347 7.199
Te 2.457 0.910 7.974
Te 1.673 5.795 7.199
Te 5.855 1.449 5.685
```

Output
- Crystal system: trigonal
- E_tot: -4.79 eV/atom
- Spin magnetization: 0.000 μB per atom

2.
This record from Alexandria via LeMat-Bulk describes an optimized crystal structure of Nd2SnTe. The functional is GGA-PBE.

Cell and atoms, written as extended XYZ:
```
4
Lattice="2.234 1.290 7.762 -2.234 1.290 7.762 0.000 -2.580 7.762" Properties=species:S:1:pos:R:3 pbc="T T T"
Nd 0.000 0.000 0.000
Nd 0.000 0.000 4.150
Sn 0.000 0.000 13.736
Te 0.000 0.000 9.794
```

Output
- Crystal system: trigonal
- E_tot: -5.20 eV/atom
- Spin magnetization: 0.000 μB per atom
- Energy relative to the lowest polymorph listed for this composition: 111.2 meV per atom

3.
This record from Alexandria via LeMat-Bulk describes an optimized crystal structure of Nd4SnTe3. The functional is GGA-PBE.

Cell and atoms, written as extended XYZ:
```
8
Lattice="6.374 0.000 0.000 0.000 6.374 0.000 0.000 0.000 6.374" Properties=species:S:1:pos:R:3 pbc="T T T"
Nd 0.000 0.000 0.000
Nd 0.000 3.187 3.187
Nd 3.187 0.000 3.187
Nd 3.187 3.187 0.000
Sn 3.187 3.187 3.187
Te 0.000 0.000 3.187
Te 0.000 3.187 0.000
Te 3.187 0.000 0.000
```

Output
- Crystal system: cubic
- E_tot: -5.38 eV/atom
- Spin magnetization: 0.000 μB per atom

4.
This record from Alexandria via LeMat-Bulk describes an optimized crystal structure of Nd3Tl4SnTe8. The functional is GGA-PBE.

Cell and atoms, written as extended XYZ:
```
16
Lattice="4.576 2.642 8.021 -4.576 2.642 8.021 0.000 -5.284 8.021" Properties=species:S:1:pos:R:3 pbc="T T T"
Nd -2.288 -1.321 8.021
Nd -2.288 1.321 16.041
Nd 0.000 2.642 8.020
Tl -4.576 0.000 12.031
Tl -2.288 1.321 4.010
Tl 2.288 1.321 4.010
Tl 0.000 0.000 12.031
Sn 0.000 0.000 0.000
Te 0.000 -2.660 9.781
Te -2.304 1.330 9.781
Te -2.304 -1.330 14.280
Te 0.000 0.000 6.226
Te 0.000 0.000 17.835
Te 2.304 1.330 9.781
Te 2.304 -1.330 14.280
Te 0.000 2.660 14.280
```

Output
- Crystal system: trigonal
- E_tot: -4.16 eV/atom
- Spin magnetization: 0.000 μB per atom

5.
This record from Alexandria via LeMat-Bulk describes an optimized crystal structure of Nd4TlSnTe2. The functional is GGA-PBE.

Cell and atoms, written as extended XYZ:
```
8
Lattice="7.595 0.000 0.000 0.000 4.477 0.000 -2.622 0.000 7.689" Properties=species:S:1:pos:R:3 pbc="T T T"
Nd 1.217 0.000 1.892
Nd -0.083 2.239 5.755
Nd 5.056 2.239 1.933
Nd 3.756 0.000 5.797
Tl 3.797 0.000 0.000
Sn 0.000 2.239 0.000
Te -1.311 0.000 3.844
Te 2.486 2.239 3.844
```

Output
- Crystal system: monoclinic
- E_tot: -4.96 eV/atom
- Spin magnetization: 0.000 μB per atom

6.
This record from Alexandria via LeMat-Bulk describes an optimized crystal structure of NdTl2SnTe4. The functional is GGA-PBE.

Cell and atoms, written as extended XYZ:
```
8
Lattice="8.018 0.000 0.000 0.000 4.473 0.000 -2.651 0.000 7.944" Properties=species:S:1:pos:R:3 pbc="T T T"
Nd 0.000 0.000 0.000
Tl -1.326 2.237 3.972
Tl 2.683 0.000 3.972
Sn 4.009 2.237 0.000
Te 1.376 2.237 1.761
Te 0.021 0.000 6.188
Te 5.345 0.000 1.755
Te 3.991 2.237 6.183
```

Output
- Crystal system: monoclinic
- E_tot: -3.90 eV/atom
- Spin magnetization: 0.000 μB per atom

7.
This record from Alexandria via LeMat-Bulk describes an optimized crystal structure of NdTmSnTe. The functional is GGA-PBE.

Cell and atoms, written as extended XYZ:
```
4
Lattice="2.217 1.280 7.273 -2.217 1.280 7.273 0.000 -2.560 7.273" Properties=species:S:1:pos:R:3 pbc="T T T"
Nd 0.000 0.000 0.000
Tm 0.000 0.000 10.729
Sn 0.000 0.000 16.358
Te 0.000 0.000 5.265
```

Output
- Crystal system: trigonal
- E_tot: -5.13 eV/atom
- Spin magnetization: 0.000 μB per atom

8.
This record from Alexandria via LeMat-Bulk describes an optimized crystal structure of NdYSnTe. The functional is GGA-PBE.

Cell and atoms, written as extended XYZ:
```
4
Lattice="2.229 1.287 7.330 -2.229 1.287 7.330 0.000 -2.574 7.330" Properties=species:S:1:pos:R:3 pbc="T T T"
Nd 0.000 0.000 0.000
Y 0.000 0.000 10.832
Sn 0.000 0.000 16.465
Te 0.000 0.000 5.346
```

Output
- Crystal system: trigonal
- E_tot: -5.69 eV/atom
- Spin magnetization: 0.000 μB per atom

9.
This record from Alexandria via LeMat-Bulk describes an optimized crystal structure of NdTh2Sn. The functional is GGA-PBE.

Cell and atoms, written as extended XYZ:
```
4
Lattice="4.883 0.000 0.000 0.000 4.883 0.000 0.000 0.000 5.054" Properties=species:S:1:pos:R:3 pbc="T T T"
Nd 0.000 0.000 0.000
Th 0.000 2.441 2.527
Th 2.441 0.000 2.527
Sn 2.441 2.441 0.000
```

Output
- E_form: -1.3 eV per formula unit
- Crystal system: tetragonal
- E_tot: -6.24 eV/atom
- Spin magnetization: 0.000 μB per atom
- Energy relative to the lowest polymorph listed for this composition: 0.0 meV per atom

10.
This record from Alexandria via LeMat-Bulk describes an optimized crystal structure of Nd5ThSn5. The functional is GGA-PBE.

Cell and atoms, written as extended XYZ:
```
11
Lattice="7.245 -3.187 0.000 7.245 3.187 0.000 -2.624 0.000 8.369" Properties=species:S:1:pos:R:3 pbc="T T T"
Nd 0.000 0.000 0.000
Nd 3.052 0.000 5.545
Nd 4.390 0.000 1.391
Nd 7.477 0.000 6.979
Nd 8.814 0.000 2.824
Th -1.312 0.000 4.185
Sn 1.519 0.000 2.738
Sn 0.204 0.000 6.993
Sn 5.933 0.000 4.185
Sn 11.663 0.000 1.376
Sn 10.348 0.000 5.631
```

Output
- E_form: -5.3 eV per formula unit
- Crystal system: monoclinic
- E_tot: -5.14 eV/atom
- Spin magnetization: 0.063 μB per atom

11.
This record from Alexandria via LeMat-Bulk describes an optimized crystal structure of Nd3ThSn12. The functional is GGA-PBE.

Cell and atoms, written as extended XYZ:
```
16
Lattice="4.796 0.000 0.000 0.000 4.796 0.000 0.000 0.000 18.823" Properties=species:S:1:pos:R:3 pbc="T T T"
Nd 0.000 0.000 0.000
Nd 0.000 0.000 4.753
Nd 0.000 0.000 14.070
Th 0.000 0.000 9.412
Sn 0.000 2.398 2.367
Sn 0.000 2.398 7.075
Sn 0.000 2.398 11.749
Sn 0.000 2.398 16.456
Sn 2.398 0.000 2.367
Sn 2.398 0.000 7.075
Sn 2.398 0.000 11.749
Sn 2.398 0.000 16.456
Sn 2.398 2.398 0.000
Sn 2.398 2.398 4.704
Sn 2.398 2.398 9.412
Sn 2.398 2.398 14.119
```

Output
- E_form: -7.8 eV per formula unit
- Crystal system: tetragonal
- E_tot: -4.85 eV/atom
- Spin magnetization: 0.000 μB per atom

12.
This record from Alexandria via LeMat-Bulk describes an optimized crystal structure of NdTh4Sn4. The functional is GGA-PBE.

Cell and atoms, written as extended XYZ:
```
9
Lattice="-4.979 4.979 3.171 4.979 -4.979 3.171 4.979 4.979 -3.171" Properties=species:S:1:pos:R:3 pbc="T T T"
Nd 0.000 0.000 0.000
Th 5.986 2.060 0.000
Th 2.060 3.973 0.000
Th 2.920 1.006 3.171
Th -1.006 2.920 3.171
Sn 3.006 0.945 0.000
Sn 4.035 -1.974 3.171
Sn 0.945 6.953 0.000
Sn 1.974 4.035 3.171
```

Output
- E_form: -2.8 eV per formula unit
- Crystal system: tetragonal
- E_tot: -5.92 eV/atom
- Spin magnetization: 0.000 μB per atom

Question: Which formula does entry 5 have?
Answer: Nd4TlSnTe2

Repeat the seventh record exactly.
This record from Alexandria via LeMat-Bulk describes an optimized crystal structure of NdTmSnTe. The functional is GGA-PBE.

Cell and atoms, written as extended XYZ:
```
4
Lattice="2.217 1.280 7.273 -2.217 1.280 7.273 0.000 -2.560 7.273" Properties=species:S:1:pos:R:3 pbc="T T T"
Nd 0.000 0.000 0.000
Tm 0.000 0.000 10.729
Sn 0.000 0.000 16.358
Te 0.000 0.000 5.265
```

Output
- Crystal system: trigonal
- E_tot: -5.13 eV/atom
- Spin magnetization: 0.000 μB per atom

Question: spin magnetization of number 5 (Nd4TlSnTe2)?
Answer: 0.000 μB per atom

Question: Among the records above, which one has the lowest E_tot?
Answer: NdTh2Sn